[1]
This record from the Alexandria database describes crystalline Ta2BeTe at its relaxed geometry. The functional is PBE-GGA.

a = 3.011 Å, b = 3.011 Å, c = 9.392 Å
α = 90.00°, β = 90.00°, γ = 105.63°
Fractional coordinates of all 4 atoms:
Ta1 0.000 0.000 0.000
Ta2 0.500 0.500 0.228
Be1 0.000 0.000 0.401
Te1 0.500 0.500 0.763

Properties
V = 20.51 A^3/atom
crystal system = orthorhombic
formation energy (no corrections) = 0.39 eV/atom
space group = Cmm2, No. 35
energy above the lowest structure with this stoichiometry = 266 meV per atom
E = -7.2554 eV per atom

[2]
This record from the Alexandria database describes crystalline Ta3BeTe at its relaxed geometry. The functional is PBE-GGA.

a = 4.483 Å, b = 4.483 Å, c = 4.483 Å
α = 90.00°, β = 90.00°, γ = 90.00°
Fractional coordinates of all 5 atoms:
Ta1 0.000 0.000 0.500
Ta2 0.000 0.500 0.000
Ta3 0.500 0.000 0.000
Be1 0.000 0.000 0.000
Te1 0.500 0.500 0.500

Properties
V = 18.02 A^3/atom
crystal system = cubic
formation energy (no corrections) = 0.68 eV/atom
space group = Pm-3m, No. 221
energy above the lowest structure with this stoichiometry = 0 meV per atom
E = -7.8087 eV per atom

Look up the energy above the lowest structure with this stoichiometry of the second one.
0 meV per atom

What did the first record say?
This record from the Alexandria database describes crystalline Ta2BeTe at its relaxed geometry. The functional is PBE-GGA.

a = 3.011 Å, b = 3.011 Å, c = 9.392 Å
α = 90.00°, β = 90.00°, γ = 105.63°
Fractional coordinates of all 4 atoms:
Ta1 0.000 0.000 0.000
Ta2 0.500 0.500 0.228
Be1 0.000 0.000 0.401
Te1 0.500 0.500 0.763

Properties
V = 20.51 A^3/atom
crystal system = orthorhombic
formation energy (no corrections) = 0.39 eV/atom
space group = Cmm2, No. 35
energy above the lowest structure with this stoichiometry = 266 meV per atom
E = -7.2554 eV per atom

The highest V belongs to which entry?
Ta2BeTe